# 1
Material: HgAsS2
Method: DFT, PBE
State: optimized geometry

a = 5.735 Å, b = 5.870 Å, c = 6.934 Å
α = 82.73°, β = 81.30°, γ = 86.99°
Element x y z (fractional)
Hg1 0.777 0.118 0.823
Hg2 0.433 0.734 0.695
As1 0.200 0.896 0.227
As2 0.533 0.581 0.217
S1 0.032 0.809 0.970
S2 0.177 0.549 0.422
S3 0.452 0.396 0.964
S4 0.654 0.048 0.505

Density, g/cm3: 4.93
Energy above the lowest structure with this stoichiometry, meV per atom: 80
M_tot, μB/atom: 0.000
ΔE_f (raw), meV per atom: -12
Total energy, Ry per atom: -0.24351



# 2
Material: Hg3AsS2
Method: DFT, PBE
State: optimized geometry

a = 6.156 Å, b = 7.567 Å, c = 7.567 Å
α = 108.73°, β = 90.00°, γ = 90.00°
Element x y z (fractional)
Hg1 0.414 0.042 0.676
Hg2 0.914 0.324 0.958
Hg3 0.506 0.292 0.292
Hg4 0.006 0.708 0.708
Hg5 0.914 0.958 0.324
Hg6 0.414 0.676 0.042
As1 0.849 0.988 0.988
As2 0.349 0.012 0.012
S1 0.693 0.219 0.563
S2 0.193 0.437 0.781
S3 0.193 0.781 0.437
S4 0.693 0.563 0.219

Density, g/cm3: 7.37
M_tot, μB/atom: 0.000
ΔE_f (raw), meV per atom: 55
Total energy, Ry per atom: -0.16516



# 3
Material: Hg3AsS
Method: DFT, PBE
State: optimized geometry

a = 5.189 Å, b = 5.189 Å, c = 5.189 Å
α = 90.00°, β = 90.00°, γ = 90.00°
Each line ends with the local moment (μB).
Element x y z (fractional)
S1 0.000 0.000 0.000  0.00
As1 0.500 0.500 0.500  0.36
Hg1 0.000 0.500 0.000  0.00
Hg2 0.000 0.000 0.500  0.02
Hg3 0.500 0.000 0.000  0.00

Density, g/cm3: 8.43
Energy above the lowest structure with this stoichiometry, meV per atom: 484
DOS(E_F), states/eV per atom: 0.70
M_tot, μB/atom: 0.165
ΔE_f (raw), meV per atom: 592
Total energy, Ry per atom: -0.09882



# 4
Material: Hg2AsS4
Method: DFT, PBE
State: optimized geometry

a = 5.888 Å, b = 5.888 Å, c = 6.813 Å
α = 115.60°, β = 115.60°, γ = 90.00°
Element x y z (fractional)
Hg1 0.750 0.250 0.500
Hg2 0.250 0.750 0.500
As1 0.500 0.500 0.000
S1 0.853 0.359 0.212
S2 0.359 0.853 0.212
S3 0.641 0.641 0.788
S4 0.147 0.147 0.788

Density, g/cm3: 5.37
Energy above the lowest structure with this stoichiometry, meV per atom: 0
DOS(E_F), states/eV per atom: 0.71
M_tot, μB/atom: 0.001
ΔE_f (raw), meV per atom: 25
Total energy, Ry per atom: -0.22665



# 5
Material: Hg12As3S5
Method: DFT, PBE
State: optimized geometry

a = 14.029 Å, b = 14.029 Å, c = 14.029 Å
α = 109.47°, β = 109.47°, γ = 109.47°
Element x y z (fractional)
As1 0.750 0.375 0.125
As2 0.875 0.750 0.125
As3 0.375 0.750 0.625
As4 0.250 0.125 0.375
As5 0.875 0.125 0.250
As6 0.375 0.625 0.250
As7 0.625 0.375 0.750
As8 0.125 0.875 0.750
As9 0.750 0.875 0.625
As10 0.625 0.250 0.375
As11 0.125 0.250 0.875
As12 0.250 0.625 0.875
S1 0.125 0.375 0.250
S2 0.000 0.500 0.000
S3 0.000 0.000 0.000
S4 0.375 0.250 0.125
S5 0.500 0.000 0.500
S6 0.500 0.500 0.000
S7 0.125 0.750 0.375
S8 0.750 0.125 0.875
S9 0.750 0.625 0.375
S10 0.375 0.125 0.750
S11 0.625 0.875 0.250
S12 0.500 0.500 0.500
S13 0.500 0.000 0.000
S14 0.000 0.000 0.500
S15 0.250 0.375 0.625
S16 0.250 0.875 0.125
S17 0.000 0.500 0.500
S18 0.875 0.250 0.625
S19 0.625 0.750 0.875
S20 0.875 0.625 0.750
Hg1 0.731 0.134 0.057
Hg2 0.326 0.557 0.423
Hg3 0.943 0.366 0.269
Hg4 0.557 0.231 0.134
Hg5 0.597 0.731 0.674
Hg6 0.943 0.577 0.174
Hg7 0.326 0.769 0.403
Hg8 0.077 0.903 0.134
Hg9 0.577 0.943 0.674
Hg10 0.731 0.597 0.174
Hg11 0.769 0.443 0.366
Hg12 0.826 0.923 0.057
Hg13 0.134 0.731 0.557
Hg14 0.366 0.423 0.097
Hg15 0.097 0.923 0.366
Hg16 0.403 0.134 0.577
Hg17 0.097 0.174 0.231
Hg18 0.443 0.674 0.077
Hg19 0.826 0.903 0.269
Hg20 0.134 0.403 0.077
Hg21 0.366 0.943 0.769
Hg22 0.577 0.634 0.403
Hg23 0.923 0.826 0.557
Hg24 0.769 0.326 0.903
Hg25 0.423 0.366 0.597
Hg26 0.077 0.174 0.443
Hg27 0.231 0.674 0.097
Hg28 0.174 0.097 0.731
Hg29 0.634 0.057 0.231
Hg30 0.866 0.597 0.923
Hg31 0.557 0.326 0.923
Hg32 0.597 0.866 0.423
Hg33 0.903 0.826 0.769
Hg34 0.903 0.077 0.634
Hg35 0.866 0.269 0.443
Hg36 0.174 0.077 0.943
Hg37 0.634 0.577 0.903
Hg38 0.423 0.057 0.326
Hg39 0.269 0.403 0.826
Hg40 0.231 0.557 0.634
Hg41 0.923 0.097 0.866
Hg42 0.674 0.231 0.597
Hg43 0.443 0.769 0.866
Hg44 0.057 0.423 0.826
Hg45 0.403 0.269 0.326
Hg46 0.057 0.634 0.731
Hg47 0.674 0.443 0.577
Hg48 0.269 0.866 0.943

Density, g/cm3: 8.73
DOS(E_F), states/eV per atom: 0.52
M_tot, μB/atom: 0.000
ΔE_f (raw), meV per atom: 149
Total energy, Ry per atom: -0.12942



# 6
Material: Hg2SbAsS
Method: DFT, PBE
State: optimized geometry

a = 5.144 Å, b = 5.644 Å, c = 5.144 Å
α = 90.00°, β = 90.00°, γ = 90.00°
Element x y z (fractional)
S1 0.500 0.500 0.500
Sb1 0.000 0.500 0.000
As1 0.000 0.000 0.000
Hg1 0.000 0.000 0.500
Hg2 0.500 0.000 0.000

Density, g/cm3: 7.00
DOS(E_F), states/eV per atom: 0.62
M_tot, μB/atom: 0.000
ΔE_f (raw), meV per atom: 525
Total energy, Ry per atom: -0.15991



# 7
Material: HgAsSe2S
Method: DFT, PBE
State: optimized geometry

a = 5.065 Å, b = 5.333 Å, c = 5.065 Å
α = 90.00°, β = 90.00°, γ = 90.00°
Each line ends with the local moment (μB).
Element x y z (fractional)
S1 0.500 0.500 0.500  0.90
As1 0.000 0.000 0.000  0.01
Hg1 0.000 0.500 0.000  0.04
Se1 0.000 0.000 0.500  0.29
Se2 0.500 0.000 0.000  0.34

Density, g/cm3: 5.65
Energy above the lowest structure with this stoichiometry, meV per atom: 144
DOS(E_F), states/eV per atom: 1.33
M_tot, μB/atom: 0.491
ΔE_f (raw), meV per atom: 729
Total energy, Ry per atom: -0.18231



# 8
Material: HgAsSe2S
Method: DFT, PBE
State: optimized geometry

a = 5.178 Å, b = 5.178 Å, c = 5.403 Å
α = 90.00°, β = 90.00°, γ = 90.00°
Each line ends with the local moment (μB).
Element x y z (fractional)
S1 0.500 0.500 0.500  0.80
As1 0.000 0.000 0.500  -0.35
Hg1 0.000 0.000 0.000  0.01
Se1 0.000 0.500 0.000  0.24
Se2 0.500 0.000 0.000  0.24

Density, g/cm3: 5.34
Energy above the lowest structure with this stoichiometry, meV per atom: 610
DOS(E_F), states/eV per atom: 1.12
M_tot, μB/atom: 0.261
ΔE_f (raw), meV per atom: 1196
Total energy, Ry per atom: -0.14799



# 9
Material: HgAsSe2S
Method: DFT, PBE
State: optimized geometry

a = 4.900 Å, b = 4.900 Å, c = 4.977 Å
α = 90.00°, β = 90.00°, γ = 90.00°
Each line ends with the local moment (μB).
Element x y z (fractional)
S1 0.000 0.000 0.000  0.00
As1 0.000 0.000 0.500  0.28
Hg1 0.500 0.500 0.500  0.00
Se1 0.000 0.500 0.000  0.05
Se2 0.500 0.000 0.000  0.05

Density, g/cm3: 6.47
Energy above the lowest structure with this stoichiometry, meV per atom: 0
DOS(E_F), states/eV per atom: 0.94
M_tot, μB/atom: 0.145
ΔE_f (raw), meV per atom: 586
Total energy, Ry per atom: -0.19286



# 10
Material: HgAs2SeS
Method: DFT, PBE
State: optimized geometry

a = 5.259 Å, b = 5.259 Å, c = 5.094 Å
α = 90.00°, β = 90.00°, γ = 90.00°
Each line ends with the local moment (μB).
Element x y z (fractional)
S1 0.500 0.500 0.500  -0.33
As1 0.000 0.500 0.000  0.20
As2 0.500 0.000 0.000  0.20
Hg1 0.000 0.000 0.000  0.00
Se1 0.000 0.000 0.500  -0.16

Density, g/cm3: 5.44
Energy above the lowest structure with this stoichiometry, meV per atom: 612
DOS(E_F), states/eV per atom: 1.29
M_tot, μB/atom: 0.015
ΔE_f (raw), meV per atom: 1278
Total energy, Ry per atom: -0.15911



# 11
Material: HgAs2SeS
Method: DFT, PBE
State: optimized geometry

a = 4.932 Å, b = 4.932 Å, c = 4.870 Å
α = 90.00°, β = 90.00°, γ = 90.00°
Each line ends with the local moment (μB).
Element x y z (fractional)
S1 0.000 0.000 0.000  0.00
As1 0.000 0.500 0.000  0.21
As2 0.500 0.000 0.000  0.21
Hg1 0.500 0.500 0.500  0.01
Se1 0.000 0.000 0.500  0.10

Density, g/cm3: 6.47
Energy above the lowest structure with this stoichiometry, meV per atom: 0
DOS(E_F), states/eV per atom: 1.02
M_tot, μB/atom: 0.208
ΔE_f (raw), meV per atom: 666
Total energy, Ry per atom: -0.20408



# 12
Material: Sm6HgAs3S2
Method: DFT, PBE
State: optimized geometry

a = 4.153 Å, b = 8.420 Å, c = 9.299 Å
α = 101.94°, β = 102.90°, γ = 90.00°
Element x y z (fractional)
Sm1 0.327 0.907 0.653
Sm2 0.667 0.586 0.335
Sm3 0.673 0.093 0.347
Sm4 0.004 0.268 0.009
Sm5 0.996 0.732 0.991
Sm6 0.333 0.414 0.665
Hg1 0.500 0.000 0.000
As1 0.500 0.500 0.000
As2 0.836 0.165 0.671
As3 0.164 0.835 0.329
S1 0.830 0.660 0.660
S2 0.170 0.340 0.340

Density, g/cm3: 7.46
DOS(E_F), states/eV per atom: 0.39
M_tot, μB/atom: 0.000
ΔE_f (raw), meV per atom: -1503
Total energy, Ry per atom: -0.42172



> Look up the total energy of the third one.

-0.09882 Ry per atom